Record 1
Ca3OsN3 | GGA-PBE | relaxed

Cell lengths 8.5526, 10.3926, 5.0152 Å; angles 90.00, 90.00, 90.00 degrees
Last column: nearest neighbours and their distance in Å.
Space group Cmcm (No. 63)
Symmetry-distinct sites (fractional):
Ca 0.0000 0.1066 0.2500 (multiplicity 4)  5 N 2.38-2.54
Ca 0.2134 0.3843 0.2500 (multiplicity 8)  4 N 2.45-2.51
Os 0.0000 0.3077 0.7500 (multiplicity 4)  3 N 1.89-1.92
N 0.0000 0.1229 0.7500 (multiplicity 4)  1 Os 1.92
N 0.2038 0.3778 0.7500 (multiplicity 8)  1 Os 1.89

Output
M_tot: 0.12 μB/f.u.
E_form (uncorrected): -713.9 meV per atom
E: -0.24784 hartree per atom


Record 2
CaOsN2 | GGA-PBE | relaxed

Cell lengths 3.2529, 3.2529, 15.3444 Å; angles 90.00, 90.00, 120.00 degrees
Last column: nearest neighbours and their distance in Å.
Space group R-3m (No. 166, hexagonal axes)
Symmetry-distinct sites (fractional):
Ca 0.0000 0.0000 0.0000 (multiplicity 3)  6 N 2.44
Os 0.0000 0.0000 0.5000 (multiplicity 3)  6 N 2.13
N 0.0000 0.0000 0.2319 (multiplicity 6)  3 Os 2.13

Output
M_tot: 0.00 μB/f.u.
E_form (uncorrected): -171.3 meV per atom
E: -0.28083 hartree per atom


Record 3
Ca8Os3N8 | GGA-PBE | relaxed

Cell lengths 18.1411, 5.0075, 7.2547 Å; angles 90.00, 104.88, 90.00 degrees
Last column: nearest neighbours and their distance in Å.
Space group C2/m (No. 12)
Symmetry-distinct sites (fractional):
Ca 0.0229 0.0000 0.2510 (multiplicity 4)  4 N 2.45-2.56
Ca 0.0996 0.5000 0.9610 (multiplicity 4)  4 N 2.47-2.52
Ca 0.1646 0.5000 0.4733 (multiplicity 4)  4 N 2.50-2.56
Ca 0.2009 0.0000 0.8018 (multiplicity 4)  5 N 2.45-2.73
Os 0.0000 0.5000 0.5000 (multiplicity 2)  2 N 1.84
Os 0.1867 0.0000 0.2072 (multiplicity 4)  3 N 1.86-1.92
N 0.0262 0.5000 0.2718 (multiplicity 4)  1 Os 1.84
N 0.0978 0.0000 0.9960 (multiplicity 4)  1 Os 1.92
N 0.1737 0.0000 0.4531 (multiplicity 4)  1 Os 1.86
N 0.2139 0.5000 0.8280 (multiplicity 4)  1 Os 1.89

Output
M_tot: 0.01 μB/f.u.
E_form (uncorrected): -657.2 meV per atom
E: -0.24911 hartree per atom


Record 4
Ca3Os3N5 | GGA-PBE | relaxed

Cell lengths 6.0362, 6.7576, 8.2205 Å; angles 99.13, 107.60, 91.85 degrees
Last column: nearest neighbours and their distance in Å.
Space group P-1 (No. 2)
Symmetry-distinct sites (fractional):
Ca 0.1377 0.1611 0.1769 (multiplicity 2)  4 N 2.42-2.67
Ca 0.1392 0.3953 0.8447 (multiplicity 2)  5 N 2.32-2.57
Ca 0.2900 0.9910 0.6067 (multiplicity 2)  4 N 2.39-2.67
Os 0.2096 0.5051 0.4940 (multiplicity 2)  3 N 1.98-2.20
Os 0.3941 0.6072 0.2460 (multiplicity 2)  3 N 1.83-2.01
Os 0.4251 0.8259 0.0009 (multiplicity 2)  3 N 1.86-2.02
N 0.0102 0.2789 0.5149 (multiplicity 2)  2 Os 1.98-2.00
N 0.1583 0.7162 0.0581 (multiplicity 2)  2 Os 1.96-2.01
N 0.2313 0.0356 0.8895 (multiplicity 2)  2 Os 2.02-2.11
N 0.4647 0.3879 0.1158 (multiplicity 2)  2 Os 1.83-1.86
N 0.4957 0.2901 0.5002 (multiplicity 2)  2 Os 1.99-2.20

Output
M_tot: 0.00 μB/f.u.
E_form (uncorrected): -300.3 meV per atom
E: -0.28272 hartree per atom


Record 5
Ca2OsN | GGA-PBE | relaxed

Cell lengths 9.9004, 9.9004, 3.7976 Å; angles 90.00, 90.00, 90.00 degrees
Last column: nearest neighbours and their distance in Å.
Space group I-42d (No. 122)
Symmetry-distinct sites (fractional):
Ca 0.0598 0.7500 0.1250 (multiplicity 8)  2 N 2.59
Os 0.0000 0.0000 0.5000 (multiplicity 4)  2 N 1.90
N 0.0000 0.0000 0.0000 (multiplicity 4)  2 Os 1.90

Output
M_tot: 0.00 μB/f.u.
E_form (uncorrected): -320.2 meV per atom
E: -0.22820 hartree per atom


Record 6
Ca2OsN3 | GGA-PBE | relaxed

Cell lengths 5.5812, 10.8141, 12.0384 Å; angles 90.00, 90.00, 90.00 degrees
Last column: nearest neighbours and their distance in Å.
Space group Cmce (No. 64)
Symmetry-distinct sites (fractional):
Ca 0.0000 0.0489 0.1406 (multiplicity 8)  2 N 2.32-2.58
Ca 0.0000 0.1373 0.5766 (multiplicity 8)  4 N 2.35-2.62
Os 0.0000 0.2443 0.3450 (multiplicity 8)  4 N 1.88-1.90
N 0.0000 0.0695 0.3649 (multiplicity 8)  1 Os 1.90
N 0.0000 0.1542 0.9725 (multiplicity 8)  1 Os 1.89
N 0.2500 0.2078 0.7500 (multiplicity 8)  2 Os 1.88

Output
M_tot: 0.00 μB/f.u.
E_form (uncorrected): -416.7 meV per atom
E: -0.26159 hartree per atom


Record 7
CaOsN2 | GGA-PBE | relaxed

Cell lengths 4.8175, 4.8175, 10.3507 Å; angles 90.00, 90.00, 90.00 degrees
Last column: nearest neighbours and their distance in Å.
Space group I-42d (No. 122)
Symmetry-distinct sites (fractional):
Ca 0.0000 0.0000 0.0000 (multiplicity 4)  4 N 2.40
Os 0.0000 0.0000 0.5000 (multiplicity 4)  4 N 1.94
N 0.1637 0.2500 0.6250 (multiplicity 8)  2 Os 1.94

Output
M_tot: 0.00 μB/f.u.
E_form (uncorrected): -198.9 meV per atom
E: -0.28184 hartree per atom


Record 8
CaOsN2 | GGA-PBE | relaxed

Cell lengths 3.3535, 3.3535, 19.0808 Å; angles 90.00, 90.00, 120.00 degrees
Last column: nearest neighbours and their distance in Å.
Space group R-3m (No. 166, hexagonal axes)
Symmetry-distinct sites (fractional):
Ca 0.0000 0.0000 0.0000 (multiplicity 3)  6 N 2.38
Os 0.0000 0.0000 0.5000 (multiplicity 3)  2 N 1.80
N 0.0000 0.0000 0.4056 (multiplicity 6)  1 Os 1.80

Output
M_tot: 0.00 μB/f.u.
E_form (uncorrected): 207.0 meV per atom
E: -0.26693 hartree per atom